NaAs2BrO: relaxed, PBE.

Unit cell a=5.218 b=5.218 c=5.162 alpha=90.00 beta=90.00 gamma=90.00
Site moments in Bohr magnetons follow the coordinates.
Fractional positions:
Na 0.000 0.000 0.000  0.00
As 0.000 0.500 0.000  -0.25
As 0.500 0.000 0.000  -0.25
O 0.500 0.500 0.500  1.25
Br 0.000 0.000 0.500  -0.06

## Properties
- E above lowest polymorph: 1510 meV per atom
- Theoretical density: 3.2 g/cm3
- Raw formation energy: 1.233 eV per atom


V2MoRh4: relaxed, PBE.

Unit cell a=3.984 b=7.313 c=7.313 alpha=90.00 beta=90.00 gamma=90.00
Fractional positions:
V 0.000 0.240 0.760
V 0.000 0.760 0.240
V 0.500 0.740 0.740
V 0.500 0.260 0.260
Mo 0.500 0.000 0.000
Mo 0.000 0.500 0.500
Rh 0.000 0.068 0.318
Rh 0.000 0.932 0.682
Rh 0.500 0.182 0.568
Rh 0.500 0.818 0.432
Rh 0.500 0.432 0.818
Rh 0.500 0.568 0.182
Rh 0.000 0.318 0.068
Rh 0.000 0.682 0.932

## Properties
- Theoretical density: 9.5 g/cm3
- DFT formation energy: 0.004 eV per atom


| no. | magnetization (μB per formula unit) |
| --- | --- |
| 1 | 0.372 |
| 2 | 0.000 |